Entry 1:
The following is a DFT calculation (PBE with a Hubbard U) of a geometry-optimized Co3NO structure.

Results
Magnetic moment (Bohr magnetons per cell): 8.0
Distance to the lowest polymorph of the same formula (eV/atom): 0.000
Volume (Å³ per cell): 55.59

a b c (Å): 3.816 3.816 3.816
angles (deg): 90.00 90.00 90.00
Each line ends with the local moment (μB).
Fractional positions:
Co1 0.000 0.500 0.000  2.51
Co2 0.500 0.000 0.000  2.69
Co3 0.000 0.000 0.500  1.98
O1 0.500 0.500 0.500  0.58
N1 0.000 0.000 0.000  0.24

=====

Entry 2:
The following is a DFT calculation (PBE with a Hubbard U) of a geometry-optimized CoN3O structure.

Results
Magnetic moment (Bohr magnetons per cell): 4.0
Volume (Å³ per cell): 47.34
DFT total energy (eV per atom): -4.71

a b c (Å): 3.618 3.618 3.618
angles (deg): 90.00 90.00 90.00
Each line ends with the local moment (μB).
Fractional positions:
N1 0.000 0.000 0.500  1.02
N2 0.500 0.000 0.000  0.87
N3 0.000 0.500 0.000  1.05
O1 0.500 0.500 0.500  -0.79
Co1 0.000 0.000 0.000  0.89

=====

Entry 3:
The following is a DFT calculation (PBE with a Hubbard U) of a geometry-optimized CoN3O structure.

Results
Magnetic moment (Bohr magnetons per cell): 0.0
Volume (Å³ per cell): 39.82
DFT total energy (eV per atom): -4.05

a b c (Å): 3.415 3.415 3.415
angles (deg): 90.00 90.00 90.00
Fractional positions:
N1 0.500 0.000 0.000
N2 0.000 0.500 0.000
N3 0.000 0.000 0.500
Co1 0.500 0.500 0.500
O1 0.000 0.000 0.000

=====

Entry 4:
The following is a DFT calculation (PBE with a Hubbard U) of a geometry-optimized CoOsNO2 structure.

Results
Magnetic moment (Bohr magnetons per cell): 2.9
Volume (Å³ per cell): 58.27
DFT total energy (eV per atom): -6.75

a b c (Å): 3.918 3.918 3.797
angles (deg): 90.00 90.00 90.00
Each line ends with the local moment (μB).
Fractional positions:
O1 0.000 0.500 0.000  0.06
O2 0.500 0.000 0.000  0.06
Os1 0.000 0.000 0.000  0.08
N1 0.000 0.000 0.500  0.03
Co1 0.500 0.500 0.500  2.58

=====

Entry 5:
The following is a DFT calculation (PBE with a Hubbard U) of a geometry-optimized CoOsNO2 structure.

Results
Magnetic moment (Bohr magnetons per cell): 0.1
Volume (Å³ per cell): 48.16
DFT total energy (eV per atom): -5.92

a b c (Å): 3.594 3.594 3.728
angles (deg): 90.00 90.00 90.00
Each line ends with the local moment (μB).
Fractional positions:
O1 0.000 0.500 0.000  -0.01
O2 0.500 0.000 0.000  -0.01
Co1 0.000 0.000 0.000  0.07
Os1 0.500 0.500 0.500  0.01
N1 0.000 0.000 0.500  -0.01

=====

Entry 6:
The following is a DFT calculation (PBE with a Hubbard U) of a geometry-optimized CoPNO2 structure.

Results
Magnetic moment (Bohr magnetons per cell): 2.3
Volume (Å³ per cell): 51.85
DFT total energy (eV per atom): -4.68

a b c (Å): 3.819 3.819 3.554
angles (deg): 90.00 90.00 90.00
Each line ends with the local moment (μB).
Fractional positions:
P1 0.000 0.000 0.500  -0.07
N1 0.000 0.000 0.000  0.00
O1 0.000 0.500 0.000  0.02
O2 0.500 0.000 0.000  0.02
Co1 0.500 0.500 0.500  2.35

=====

Entry 7:
The following is a DFT calculation (PBE with a Hubbard U) of a geometry-optimized CoPNO2 structure.

Results
Magnetic moment (Bohr magnetons per cell): 3.6
Volume (Å³ per cell): 59.64
DFT total energy (eV per atom): -4.97

a b c (Å): 3.425 3.425 5.083
angles (deg): 90.00 90.00 90.00
Each line ends with the local moment (μB).
Fractional positions:
O1 0.500 0.000 0.000  0.46
O2 0.000 0.500 0.000  0.46
P1 0.000 0.000 0.500  -0.11
Co1 0.000 0.000 0.000  1.63
N1 0.500 0.500 0.500  0.73

=====

Entry 8:
The following is a DFT calculation (PBE with a Hubbard U) of a geometry-optimized CoPNO2 structure.

Results
Magnetic moment (Bohr magnetons per cell): 0.1
Volume (Å³ per cell): 49.10
DFT total energy (eV per atom): -5.08

a b c (Å): 3.701 3.701 3.584
angles (deg): 90.00 90.00 90.00
Each line ends with the local moment (μB).
Fractional positions:
N1 0.000 0.000 0.500  -0.01
O1 0.500 0.000 0.000  -0.01
O2 0.000 0.500 0.000  -0.01
P1 0.500 0.500 0.500  0.00
Co1 0.000 0.000 0.000  0.15

=====

Entry 9:
The following is a DFT calculation (PBE with a Hubbard U) of a geometry-optimized CoPNO2 structure.

Results
Magnetic moment (Bohr magnetons per cell): 2.9
Volume (Å³ per cell): 43.33
DFT total energy (eV per atom): -5.96

a b c (Å): 3.313 3.313 3.946
angles (deg): 90.00 90.00 90.00
Each line ends with the local moment (μB).
Fractional positions:
N1 0.000 0.000 0.500  0.11
O1 0.000 0.500 0.000  0.02
O2 0.500 0.000 0.000  0.02
Co1 0.500 0.500 0.500  2.65
P1 0.000 0.000 0.000  0.01

=====

Entry 10:
The following is a DFT calculation (PBE with a Hubbard U) of a geometry-optimized Pa3CoN2O6 structure.

Results
Magnetic moment (Bohr magnetons per cell): 2.1
Volume (Å³ per cell): 183.82
DFT total energy (eV per atom): -9.03

a b c (Å): 4.816 7.043 6.463
angles (deg): 123.02 90.36 90.00
Each line ends with the local moment (μB).
Fractional positions:
Pa1 0.500 0.500 0.500  -0.03
Pa2 0.000 0.500 0.000  -0.03
Pa3 0.500 0.000 0.500  -0.03
O1 0.744 0.817 0.167  -0.01
O2 0.685 0.839 0.679  0.03
O3 0.256 0.183 0.833  -0.01
O4 0.256 0.651 0.833  -0.01
O5 0.315 0.161 0.321  0.03
O6 0.744 0.349 0.167  -0.01
Co1 0.500 0.000 0.000  2.67
N1 0.258 0.669 0.338  -0.18
N2 0.742 0.331 0.662  -0.18

=====

Entry 11:
The following is a DFT calculation (PBE with a Hubbard U) of a geometry-optimized CoPbN2O structure.

Results
Magnetic moment (Bohr magnetons per cell): 4.2
Volume (Å³ per cell): 61.14
DFT total energy (eV per atom): -5.41

a b c (Å): 3.709 3.709 4.444
angles (deg): 90.00 90.00 90.00
Each line ends with the local moment (μB).
Fractional positions:
N1 0.000 0.500 0.000  0.73
N2 0.500 0.000 0.000  0.73
O1 0.000 0.000 0.500  0.16
Pb1 0.500 0.500 0.500  0.07
Co1 0.000 0.000 0.000  1.84

=====

Entry 12:
The following is a DFT calculation (PBE with a Hubbard U) of a geometry-optimized CoPbN2O structure.

Results
Magnetic moment (Bohr magnetons per cell): 5.0
Volume (Å³ per cell): 80.67
DFT total energy (eV per atom): -4.42

a b c (Å): 4.360 4.360 4.244
angles (deg): 90.00 90.00 90.00
Each line ends with the local moment (μB).
Fractional positions:
N1 0.000 0.500 0.000  0.85
N2 0.500 0.000 0.000  0.85
Pb1 0.000 0.000 0.000  -0.02
O1 0.000 0.000 0.500  0.24
Co1 0.500 0.500 0.500  2.31